First-principles (GGA-PBE) data for a relaxed RbLaTe3Pt crystal, as listed in OQMD.

Geometry as POSCAR:
```
RbLaTe3Pt
1.0
2.235 -9.024 0.000
2.235 9.024 0.000
0.000 0.000 10.843
Rb La Te Pt
2 2 6 2
Direct
0.249 0.751 0.750
0.751 0.249 0.250
0.500 0.500 0.000
0.500 0.500 0.500
0.116 0.884 0.095
0.116 0.884 0.405
0.410 0.590 0.250
0.590 0.410 0.750
0.884 0.116 0.595
0.884 0.116 0.905
0.000 0.000 0.250
0.000 0.000 0.750
```

crystal system = orthorhombic
symmetry = Cmcm
final energy = -4.545 eV per atom

First-principles (GGA-PBE) data for a relaxed TmScZn2Sn2 crystal, as listed in OQMD.

Geometry as POSCAR:
```
TmScZn2Sn2
1.0
4.469 0.000 0.000
-2.234 3.870 0.000
0.000 0.000 14.950
Tm Sc Zn Sn
2 2 4 4
Direct
0.000 0.000 0.250
0.000 0.000 0.750
0.000 0.000 0.000
0.000 0.000 0.500
0.333 0.667 0.158
0.333 0.667 0.342
0.667 0.333 0.658
0.667 0.333 0.842
0.333 0.667 0.607
0.333 0.667 0.893
0.667 0.333 0.107
0.667 0.333 0.393
```

ΔE to the lowest computed polymorph = 0.6 kJ/mol of atoms
crystal system = hexagonal
symmetry = P6_3/mmc
final energy = -4.044 eV per atom

First-principles (GGA-PBE) data for a relaxed Pr2AlPd6 crystal, as listed in OQMD.

Geometry as POSCAR:
```
Pr2AlPd6
1.0
5.813 0.000 0.000
-2.907 5.035 0.000
0.000 0.000 5.800
Pr Al Pd
2 1 6
Direct
0.333 0.667 0.309
0.667 0.333 0.691
0.000 0.000 0.500
0.171 0.343 0.806
0.171 0.829 0.806
0.343 0.171 0.194
0.657 0.829 0.806
0.829 0.171 0.194
0.829 0.657 0.194
```

crystal system = trigonal
symmetry = P-3m1
final energy = -5.760 eV per atom

First-principles (GGA-PBE) data for a relaxed YCdAg2 crystal, as listed in OQMD.

Geometry as POSCAR:
```
YCdAg2
1.0
3.550 0.000 0.000
0.000 3.550 0.000
0.000 0.000 6.903
Y Cd Ag
1 1 2
Direct
0.000 0.000 0.000
0.000 0.000 0.500
0.500 0.500 0.266
0.500 0.500 0.734
```

crystal system = tetragonal
symmetry = P4/mmm
final energy = -3.475 eV per atom
ΔH_f (0 K) = -0.223 eV per atom

First-principles (GGA-PBE) data for a relaxed TaCdCoB crystal, as listed in OQMD.

Geometry as POSCAR:
```
TaCdCoB
1.0
0.000 3.034 3.034
3.034 0.000 3.034
3.034 3.034 0.000
Ta Cd Co B
1 1 1 1
Direct
0.000 0.000 0.000
0.250 0.250 0.250
0.750 0.750 0.750
0.500 0.500 0.500
```

ΔE to the lowest computed polymorph = 12.2 kJ/mol of atoms
crystal system = cubic
symmetry = F-43m
final energy = -5.671 eV per atom

First-principles (GGA-PBE) data for a relaxed NiBIrAu crystal, as listed in OQMD.

Geometry as POSCAR:
```
NiBIrAu
1.0
0.000 2.921 2.921
2.921 0.000 2.921
2.921 2.921 0.000
Ni B Ir Au
1 1 1 1
Direct
0.000 0.000 0.000
0.500 0.500 0.500
0.250 0.250 0.250
0.750 0.750 0.750
```

crystal system = cubic
symmetry = F-43m
final energy = -5.518 eV per atom

First-principles (GGA-PBE) data for a relaxed CuRe3P5 crystal, as listed in OQMD.

Geometry as POSCAR:
```
CuRe3P5
1.0
5.240 0.000 0.000
-2.620 4.538 0.000
0.000 0.000 6.890
Cu Re P
1 3 5
Direct
0.000 0.000 0.000
0.000 0.500 0.500
0.500 0.000 0.500
0.500 0.500 0.500
0.000 0.000 0.500
0.333 0.667 0.213
0.333 0.667 0.787
0.667 0.333 0.213
0.667 0.333 0.787
```

crystal system = hexagonal
symmetry = P6/mmm
final energy = -6.967 eV per atom

First-principles (GGA-PBE) data for a relaxed RbGd2Cu3Se5 crystal, as listed in OQMD.

Geometry as POSCAR:
```
RbGd2Cu3Se5
1.0
2.070 -7.269 0.000
2.070 7.269 0.000
0.000 0.000 17.217
Rb Gd Cu Se
2 4 6 10
Direct
0.061 0.939 0.750
0.939 0.061 0.250
0.192 0.808 0.092
0.192 0.808 0.408
0.808 0.192 0.592
0.808 0.192 0.908
0.341 0.659 0.750
0.414 0.586 0.027
0.414 0.586 0.473
0.586 0.414 0.527
0.586 0.414 0.973
0.659 0.341 0.250
0.164 0.836 0.572
0.164 0.836 0.928
0.246 0.754 0.250
0.442 0.558 0.617
0.442 0.558 0.883
0.558 0.442 0.117
0.558 0.442 0.383
0.754 0.246 0.750
0.836 0.164 0.072
0.836 0.164 0.428
```

crystal system = orthorhombic
symmetry = Cmcm
final energy = -4.662 eV per atom

First-principles (GGA-PBE) data for a relaxed Sr3H6Pt crystal, as listed in OQMD.

Geometry as POSCAR:
```
Sr3H6Pt
1.0
0.000 4.185 4.185
4.185 0.000 4.185
4.185 4.185 0.000
Sr H Pt
3 6 1
Direct
0.000 0.000 0.000
0.250 0.250 0.250
0.750 0.750 0.750
0.286 0.286 0.714
0.286 0.714 0.286
0.286 0.714 0.714
0.714 0.286 0.286
0.714 0.286 0.714
0.714 0.714 0.286
0.500 0.500 0.500
```

crystal system = cubic
symmetry = Fm-3m
final energy = -3.300 eV per atom

First-principles (GGA-PBE) data for a relaxed Tb2Ir2O5 crystal, as listed in OQMD.

Geometry as POSCAR:
```
Tb2Ir2O5
1.0
3.919 0.000 0.000
0.000 3.919 0.000
0.000 0.000 7.027
Tb Ir O
2 2 5
Direct
0.000 0.000 0.000
0.000 0.000 0.500
0.500 0.500 0.191
0.500 0.500 0.809
0.000 0.500 0.250
0.000 0.500 0.750
0.500 0.000 0.250
0.500 0.000 0.750
0.500 0.500 0.500
```

ΔE to the lowest computed polymorph = 0.0 kJ/mol of atoms
crystal system = tetragonal
symmetry = P4/mmm
final energy = -7.456 eV per atom

First-principles (GGA-PBE) data for a relaxed PuCoB crystal, as listed in OQMD.

Geometry as POSCAR:
```
PuCoB
1.0
0.000 2.793 2.793
2.793 0.000 2.793
2.793 2.793 0.000
Pu Co B
1 1 1
Direct
0.000 0.000 0.000
0.750 0.750 0.750
0.500 0.500 0.500
```

ΔE to the lowest computed polymorph = 22.7 kJ/mol of atoms
crystal system = cubic
symmetry = F-43m
final energy = -8.835 eV per atom

First-principles (GGA-PBE) data for a relaxed DyMoPd crystal, as listed in OQMD.

Geometry as POSCAR:
```
DyMoPd
1.0
0.000 3.255 3.255
3.255 0.000 3.255
3.255 3.255 0.000
Dy Mo Pd
1 1 1
Direct
0.000 0.000 0.000
0.750 0.750 0.750
0.250 0.250 0.250
```

ΔE to the lowest computed polymorph = 42.4 kJ/mol of atoms
crystal system = cubic
symmetry = F-43m
final energy = -6.010 eV per atom
ΔH_f (0 K) = 0.865 eV per atom

> Which value of final energy does entry 9 give?

-3.300 eV per atom

Please write out number 2 again, unchanged.
First-principles (GGA-PBE) data for a relaxed TmScZn2Sn2 crystal, as listed in OQMD.

Geometry as POSCAR:
```
TmScZn2Sn2
1.0
4.469 0.000 0.000
-2.234 3.870 0.000
0.000 0.000 14.950
Tm Sc Zn Sn
2 2 4 4
Direct
0.000 0.000 0.250
0.000 0.000 0.750
0.000 0.000 0.000
0.000 0.000 0.500
0.333 0.667 0.158
0.333 0.667 0.342
0.667 0.333 0.658
0.667 0.333 0.842
0.333 0.667 0.607
0.333 0.667 0.893
0.667 0.333 0.107
0.667 0.333 0.393
```

ΔE to the lowest computed polymorph = 0.6 kJ/mol of atoms
crystal system = hexagonal
symmetry = P6_3/mmc
final energy = -4.044 eV per atom

Repeat the fourth record exactly.
First-principles (GGA-PBE) data for a relaxed YCdAg2 crystal, as listed in OQMD.

Geometry as POSCAR:
```
YCdAg2
1.0
3.550 0.000 0.000
0.000 3.550 0.000
0.000 0.000 6.903
Y Cd Ag
1 1 2
Direct
0.000 0.000 0.000
0.000 0.000 0.500
0.500 0.500 0.266
0.500 0.500 0.734
```

crystal system = tetragonal
symmetry = P4/mmm
final energy = -3.475 eV per atom
ΔH_f (0 K) = -0.223 eV per atom